Here is a relaxed structure of BaTeMo from Alexandria. Energies are from GGA-PBE.

abc: 4.336 4.336 10.347
angles: 90.00 90.00 90.00
Positions (direct):
Mo  0.500  0.500  0.500
Mo  0.000  0.000  0.500
Ba  0.500  0.000  0.187
Ba  0.000  0.500  0.813
Te  0.500  0.000  0.659
Te  0.000  0.500  0.341

Output
space-group type	P4/nmm, No. 129
size of the total moment	0.0	Bohr magnetons per cell
formation energy from raw total energies	-218.7	meV/atom
energy above the lowest structure with this stoichiometry	0.0	meV/atom

Here is a relaxed structure of Ba2TeMo from Alexandria. Energies are from GGA-PBE.

abc: 5.662 5.662 5.662
angles: 60.00 60.00 60.00
Positions (direct):
Te  0.750  0.750  0.750
Ba  0.250  0.250  0.250
Ba  0.000  0.000  0.000
Mo  0.500  0.500  0.500

Output
space-group type	F-43m, No. 216
size of the total moment	3.4	Bohr magnetons per cell
formation energy from raw total energies	443.7	meV/atom